Below is LaPrBr3 after structural relaxation, with properties calculated at the PBE level.

Properties
The uncorrected formation energy comes out at -735.0 kJ/mol of formula units. Its offset from the most stable computed form is 4.8 meV per atom. The value obtained for the energy is -22.34 eV/f.u. The space-group type is C2/c, No. 15.

a = 7.228 Å, b = 9.442 Å, c = 9.442 Å
α = 86.82°, β = 84.70°, γ = 84.70°
Fractional positions:
Br: 0.103 0.748 0.971
Br: 0.864 0.550 0.709
Br: 0.897 0.252 0.029
Br: 0.360 0.383 0.862
Pr: 0.004 0.154 0.312
Br: 0.640 0.617 0.138
La: 0.250 0.751 0.249
Br: 0.397 0.029 0.252
La: 0.250 0.063 0.937
Br: 0.136 0.450 0.291
Pr: 0.996 0.846 0.688
La: 0.750 0.249 0.751
Br: 0.140 0.138 0.617
Pr: 0.496 0.688 0.846
Pr: 0.504 0.312 0.154
Br: 0.603 0.971 0.748
La: 0.750 0.937 0.063
Br: 0.364 0.709 0.550
Br: 0.636 0.291 0.450
Br: 0.860 0.862 0.383



Below is Rb2CuRuPt after structural relaxation, with properties calculated at the PBE level.

Properties
The value obtained for the formation energy from the elements is 1.31 eV/atom. The value obtained for the energy is -14.81 eV/f.u. The space-group type is P4/mmm, No. 123.

a = 6.134 Å, b = 4.721 Å, c = 6.134 Å
α = 90.00°, β = 90.00°, γ = 90.00°
Fractional positions:
Rb: 0.500 0.000 0.000
Ru: 0.000 0.500 0.000
Pt: 0.500 0.500 0.500
Cu: 0.000 0.000 0.000
Rb: 0.000 0.000 0.500



Below is Ac2InAs4Rh3 after structural relaxation, with properties calculated at the PBE level.

Properties
The value obtained for the formation energy from the elements is -0.80 eV/atom. The value obtained for the energy is -59.64 eV/f.u. The space-group type is P-4m2, No. 115.

a = 4.473 Å, b = 4.473 Å, c = 10.532 Å
α = 90.00°, β = 90.00°, γ = 90.00°
Fractional positions:
As: 0.000 0.500 0.347
As: 0.500 0.000 0.653
Ac: 0.500 0.000 0.233
As: 0.000 0.000 0.000
In: 0.500 0.500 0.500
Rh: 0.000 0.500 0.111
Ac: 0.000 0.500 0.767
Rh: 0.500 0.000 0.889
Rh: 0.000 0.000 0.500
As: 0.500 0.500 0.000